[1]
A plane-wave DFT calculation with PBE-GGA was carried out for a relaxed structure of CeZn3.

Cell and atoms, written as CIF:
```
data_CeZn3
_cell_length_a 4.579
_cell_length_b 10.318
_cell_length_c 6.485
_cell_angle_alpha 90.00
_cell_angle_beta 90.00
_cell_angle_gamma 90.00
_symmetry_space_group_name_H-M 'C m c m'
_symmetry_Int_Tables_number 63
_symmetry_space_group_name_Hall '-C 2c 2'
loop_
_atom_site_label
_atom_site_type_symbol
_atom_site_fract_x
_atom_site_fract_y
_atom_site_fract_z
Ce1 Ce 0.000 0.099 0.250
Zn1 Zn 0.000 0.202 0.750
Zn2 Zn 0.000 0.380 0.056
```

The calculation puts the magnetic moment at 1.57 μB per cell. Its crystal system is orthorhombic. The density of states at the Fermi level is 4.954 states/eV/f.u. The final energy comes out at -2.72 eV/atom. Its formation energy is -109 kJ/mol of formula units.

[2]
A plane-wave DFT calculation with PBE-GGA was carried out for a relaxed structure of LiPbIN2.

Cell and atoms, written as CIF:
```
data_LiPbIN2
_cell_length_a 4.403
_cell_length_b 4.403
_cell_length_c 7.160
_cell_angle_alpha 90.00
_cell_angle_beta 90.00
_cell_angle_gamma 90.00
_symmetry_space_group_name_H-M 'P 4/m m m'
_symmetry_Int_Tables_number 123
_symmetry_space_group_name_Hall '-P 4 2'
loop_
_atom_site_label
_atom_site_type_symbol
_atom_site_fract_x
_atom_site_fract_y
_atom_site_fract_z
Li1 Li 0.000 0.000 0.000
Pb1 Pb 0.500 0.500 0.500
I1 I 0.500 0.500 0.000
N1 N 0.000 0.500 0.500
```

The calculation puts the magnetic moment at 2.37 μB per cell. The value obtained for the energy above the most stable polymorph in this dataset is 0 kJ/mol of formula units. Its crystal system is tetragonal. The uncorrected formation energy comes out at 1074 meV per atom. The density of states at the Fermi level is 1.155 states/eV/f.u. The final energy comes out at -3.69 eV/atom.

[3]
A plane-wave DFT calculation with PBE-GGA was carried out for a relaxed structure of Ca2MgP2.

Cell and atoms, written as CIF:
```
data_Ca2MgP2
_cell_length_a 7.502
_cell_length_b 7.502
_cell_length_c 3.995
_cell_angle_alpha 90.00
_cell_angle_beta 90.00
_cell_angle_gamma 90.00
_symmetry_space_group_name_H-M 'P 4/m b m'
_symmetry_Int_Tables_number 127
_symmetry_space_group_name_Hall '-P 4 2ab'
loop_
_atom_site_label
_atom_site_type_symbol
_atom_site_fract_x
_atom_site_fract_y
_atom_site_fract_z
Ca1 Ca 0.144 0.356 0.000
Mg1 Mg 0.000 0.000 0.500
P1 P 0.168 0.668 0.500
```

The calculation puts the magnetic moment at 0.00 μB per cell. Its crystal system is tetragonal. The density of states at the Fermi level is 2.008 states/eV/f.u. The final energy comes out at -4.10 eV/atom. Its formation energy is -392 kJ/mol of formula units.

[4]
A plane-wave DFT calculation with PBE-GGA was carried out for a relaxed structure of BaYPb2.

Cell and atoms, written as CIF:
```
data_BaYPb2
_cell_length_a 6.024
_cell_length_b 6.024
_cell_length_c 3.754
_cell_angle_alpha 90.00
_cell_angle_beta 90.00
_cell_angle_gamma 90.00
_symmetry_space_group_name_H-M 'P 4 m m'
_symmetry_Int_Tables_number 99
loop_
_symmetry_equiv_pos_as_xyz
'x,y,z'
'-y,x,z'
'-x,-y,z'
'y,-x,z'
'-x,y,z'
'y,x,z'
'x,-y,z'
'-y,-x,z'
loop_
_atom_site_label
_atom_site_type_symbol
_atom_site_fract_x
_atom_site_fract_y
_atom_site_fract_z
Ba1 Ba 0.000 0.000 0.000
Y1 Y 0.500 0.500 0.844
Pb1 Pb 0.000 0.500 0.468
```

The calculation puts the magnetic moment at 0.00 μB per cell. Its crystal system is tetragonal. The density of states at the Fermi level is 3.321 states/eV/f.u. The final energy comes out at -4.30 eV/atom. Its formation energy is -136 kJ/mol of formula units.

Question: Among the records above, which one has the lowest final energy?
Answer: BaYPb2